An optimized crystal structure of Dy3LuTl2C2. Source: the Open Quantum Materials Database, functional PBE-GGA.

Cell: 3.5903 3.5903 16.2449 Å, 90.00 90.00 120.00°
Last column: nearest neighbours and their distance in Å.
Atoms (fractional coordinates):
Dy  0.0000  0.0000  0.0000  3 C 2.47
Dy  0.0000  0.0000  0.3372  3 C 2.47
Dy  0.3333  0.6667  0.5042  3 C 2.48
Lu  0.3333  0.6667  0.8370  3 C 2.45
Tl  0.0000  0.0000  0.6728  3 Lu 3.38, 3 Dy 3.43, 6 Tl 3.59
Tl  0.3333  0.6667  0.1690  6 Dy 3.43-3.44, 6 Tl 3.59
C  0.6667  0.3333  0.4203  6 Dy 2.47-2.48
C  0.6667  0.3333  0.9174  3 Lu 2.45, 3 Dy 2.47

Results
V, Å³ per cell: 181
Uncorrected energy, eV/atom: -5.571
Theoretical density, g/cm3: 10.0